# 1
VASP calculation (PBE) on Pr5Y4Th after structural relaxation.

abc: 17.3522 3.5787 11.6740
angles: 90.00 108.59 90.00
Closest atoms and distances in Å follow each position.
Space group C2/m (No. 12)
Unique sites:
Pr: 0.0000 0.0000 0.0000 x2  6 Y 3.42-3.76, 6 Pr 3.58-3.61
Pr: 0.1902 0.5000 0.0827 x4  4 Y 3.38-3.66, 6 Pr 3.58-3.71
Pr: 0.2022 0.5000 0.6092 x4  5 Y 3.57-3.98, 6 Pr 3.58-3.92, 2 Th 3.78
Y: 0.0814 0.5000 0.2977 x4  4 Y 3.55-3.58, 4 Pr 3.57-3.76, 2 Th 3.59
Y: 0.1048 0.0000 0.7972 x4  1 Th 3.36, 6 Pr 3.38-3.66, 4 Y 3.55-3.58
Th: 0.0000 0.0000 0.5000 x2  6 Y 3.36-3.59, 2 Th 3.58

Output
Formation enthalpy at 0 K: 0.0429 eV per atom
Distance to the lowest polymorph of the same formula: 0.0 meV per atom


# 2
VASP calculation (PBE) on Ag3ClO after structural relaxation.

abc: 4.5410 4.5410 4.5410
angles: 90.00 90.00 90.00
Closest atoms and distances in Å follow each position.
Space group Pm-3m (No. 221)
Unique sites:
Ag: 0.0000 0.0000 0.5000 x3  2 O 2.27
Cl: 0.5000 0.5000 0.5000 x1  12 Ag 3.21
O: 0.0000 0.0000 0.0000 x1  6 Ag 2.27

Output
E_form (uncorrected): -0.110 eV per atom
Distance to the lowest polymorph of the same formula: 45.3 meV per atom


# 3
VASP calculation (PBE) on Sm3YHo7 after structural relaxation.

abc: 6.9574 5.5134 9.9705
angles: 90.00 110.21 90.00
Closest atoms and distances in Å follow each position.
Space group P2/m (No. 10)
Unique sites:
Sm: 0.0000 0.0000 0.0000 x1  2 Y 3.48, 10 Ho 3.51-3.81
Sm: 0.2823 0.5000 0.4986 x2  1 Sm 3.02, 2 Ho 3.35
Y: 0.5000 0.0000 0.0000 x1  2 Sm 3.48, 10 Ho 3.50-3.81
Ho: 0.0000 0.0000 0.5000 x1  4 Sm 3.39
Ho: 0.1461 0.5000 0.7894 x2  3 Ho 3.27-3.56, 2 Sm 3.35
Ho: 0.3203 0.5000 0.1388 x2  5 Ho 3.27-3.56, 2 Y 3.50, 2 Sm 3.51
Ho: 0.4179 0.0000 0.3297 x2  3 Ho 3.19-3.28, 5 Sm 3.52-3.56, 1 Y 3.53

Output
Formation enthalpy at 0 K: 0.1483 eV per atom
Distance to the lowest polymorph of the same formula: 0.0 meV per atom